[1]
The following is a DFT calculation (PBE-GGA) of a relaxed structure of LiCa2Cl.

The structure in POSCAR format:
```
LiCa2Cl
1.0
-1.3131 -1.3916 -5.3905
0.4422 -3.8463 0.8853
-5.0454 -4.1568 2.3022
Ca Cl Li
2 1 1
Direct
0.5000 0.5011 0.3748 Ca
0.0000 0.9991 0.8752 Ca
0.0000 0.5000 0.3752 Cl
0.5000 0.4999 0.8748 Li
```

Results
- VASP energy: -2.631 eV/atom
- Polymorph energy (0 for the lowest one): 64 meV per atom
- Total moment: 0.0 μB/cell
- Raw formation energy: -690.0 meV per atom
- V: 32.24 A^3/atom

***

[2]
The following is a DFT calculation (PBE-GGA) of a relaxed structure of LiCa3Cl.

The structure in POSCAR format:
```
LiCa3Cl
1.0
-2.7194 3.7670 3.0924
-4.0487 -3.7175 0.9680
2.7132 -1.7716 4.5440
Ca Cl Li
3 1 1
Direct
0.0000 0.0000 0.5000 Ca
0.0000 0.5000 0.0000 Ca
0.5000 0.0000 0.0000 Ca
0.0000 0.0000 0.0000 Cl
0.5000 0.5000 0.5000 Li
```

Results
- VASP energy: -2.393 eV/atom
- Polymorph energy (0 for the lowest one): 0 meV per atom
- Total moment: 0.0 μB/cell
- Raw formation energy: -440.4 meV per atom
- V: 34.77 A^3/atom

***

[3]
The following is a DFT calculation (PBE-GGA) of a relaxed structure of Li2CaCl.

The structure in POSCAR format:
```
Li2CaCl
1.0
8.5057 0.0000 0.0000
0.0000 8.5057 0.0000
4.2528 4.2528 2.8462
Li Ca Cl
4 2 2
Direct
0.2117 0.6250 0.2500 Li
0.3750 0.4617 0.7500 Li
0.5383 0.1250 0.2500 Li
0.8750 0.7883 0.7500 Li
0.0000 0.0000 0.0000 Ca
0.7500 0.2500 0.5000 Ca
0.5000 0.5000 0.0000 Cl
0.2500 0.7500 0.5000 Cl
```

Results
- VASP energy: -2.570 eV/atom
- Polymorph energy (0 for the lowest one): 118 meV per atom
- Total moment: 0.0 μB/cell
- Raw formation energy: -650.8 meV per atom
- V: 25.74 A^3/atom